Compound: La3Pr7Dy
Source: Alexandria via LeMat-Bulk
Functional: PBE
Structure: relaxed

Structure (CIF):
```
data_La3Pr7Dy
_chemical_formula_sum 'La6 Pr14 Dy2'
_cell_length_a 11.957
_cell_length_b 10.419
_cell_length_c 6.600
_cell_angle_alpha 90.00
_cell_angle_beta 94.46
_cell_angle_gamma 90.00
_symmetry_space_group_name_H-M 'C 1 2/m 1'
_symmetry_Int_Tables_number 12
loop_
_symmetry_equiv_pos_as_xyz
'x,y,z'
'-x,-y,-z'
'-x,y,-z'
'x,-y,z'
'x+1/2,y+1/2,z'
'-x+1/2,-y+1/2,-z'
'-x+1/2,y+1/2,-z'
'x+1/2,-y+1/2,z'
loop_
_atom_site_label
_atom_site_type_symbol
_atom_site_fract_x
_atom_site_fract_y
_atom_site_fract_z
_atom_site_occupancy
La1 La 0.000 0.000 0.000 1
La2 La 0.000 0.174 0.500 1
Pr1 Pr 0.000 0.500 0.500 1
Pr2 Pr 0.239 0.000 0.715 1
Pr3 Pr 0.242 0.328 0.762 1
Dy1 Dy 0.000 0.500 0.000 1
```

## Properties
Total moment (μB/f.u.): 0.00
ΔE to the lowest computed polymorph (meV per atom): 0
N(E_F) (states/eV per cell): 33.22

Compound: AcSm3Tm4
Source: Alexandria via LeMat-Bulk
Functional: PBE
Structure: relaxed

Structure (CIF):
```
data_AcSm3Tm4
_chemical_formula_sum 'Ac2 Sm6 Tm8'
_cell_length_a 3.465
_cell_length_b 11.730
_cell_length_c 13.179
_cell_angle_alpha 90.00
_cell_angle_beta 90.00
_cell_angle_gamma 90.00
_symmetry_space_group_name_H-M 'I m m m'
_symmetry_Int_Tables_number 71
_symmetry_space_group_name_Hall '-I 2 2'
loop_
_atom_site_label
_atom_site_type_symbol
_atom_site_fract_x
_atom_site_fract_y
_atom_site_fract_z
_atom_site_occupancy
Ac1 Ac 0.000 0.000 0.000 1
Sm1 Sm 0.000 0.000 0.500 1
Sm2 Sm 0.000 0.500 0.256 1
Tm1 Tm 0.000 0.254 0.137 1
```

## Properties
Total moment (μB/f.u.): 0.00
N(E_F) (states/eV per cell): 28.26
Total energy (eV/atom): -4.348

Compound: InTcRh2
Source: Alexandria via LeMat-Bulk
Functional: PBE
Structure: relaxed

Structure (CIF):
```
data_InTcRh2
_chemical_formula_sum 'In2 Tc2 Rh4'
_cell_length_a 4.032
_cell_length_b 4.032
_cell_length_c 7.718
_cell_angle_alpha 90.00
_cell_angle_beta 90.00
_cell_angle_gamma 90.00
_symmetry_space_group_name_H-M 'I 4/m m m'
_symmetry_Int_Tables_number 139
_symmetry_space_group_name_Hall '-I 4 2'
loop_
_atom_site_label
_atom_site_type_symbol
_atom_site_fract_x
_atom_site_fract_y
_atom_site_fract_z
_atom_site_occupancy
In1 In 0.000 0.000 0.000 1
Tc1 Tc 0.000 0.000 0.500 1
Rh1 Rh 0.000 0.500 0.250 1
```

## Properties
Total moment (μB/f.u.): 1.36
N(E_F) (states/eV per cell): 5.61
Total energy (eV/atom): -7.003

Compound: Ba2BiTeRh
Source: Alexandria via LeMat-Bulk
Functional: PBE
Structure: relaxed

Structure (CIF):
```
data_Ba2BiTeRh
_chemical_formula_sum 'Ba2 Bi1 Te1 Rh1'
_cell_length_a 6.183
_cell_length_b 6.183
_cell_length_c 5.049
_cell_angle_alpha 90.00
_cell_angle_beta 90.00
_cell_angle_gamma 90.00
_symmetry_space_group_name_H-M 'P 4/m m m'
_symmetry_Int_Tables_number 123
_symmetry_space_group_name_Hall '-P 4 2'
loop_
_atom_site_label
_atom_site_type_symbol
_atom_site_fract_x
_atom_site_fract_y
_atom_site_fract_z
_atom_site_occupancy
Ba1 Ba 0.000 0.500 0.000 1
Bi1 Bi 0.000 0.000 0.500 1
Te1 Te 0.500 0.500 0.500 1
Rh1 Rh 0.000 0.000 0.000 1
```

## Properties
Total moment (μB/f.u.): 0.00
N(E_F) (states/eV per cell): 2.15
ΔE_f (raw) (eV per atom): -0.771

Compound: BaFe3Rh
Source: Alexandria via LeMat-Bulk
Functional: PBE
Structure: relaxed

Structure (CIF):
```
data_BaFe3Rh
_chemical_formula_sum 'Ba1 Fe3 Rh1'
_cell_length_a 4.779
_cell_length_b 4.779
_cell_length_c 4.779
_cell_angle_alpha 90.00
_cell_angle_beta 90.00
_cell_angle_gamma 90.00
_symmetry_space_group_name_H-M 'P m -3 m'
_symmetry_Int_Tables_number 221
_symmetry_space_group_name_Hall '-P 4 2 3'
loop_
_atom_site_label
_atom_site_type_symbol
_atom_site_fract_x
_atom_site_fract_y
_atom_site_fract_z
_atom_site_occupancy
Ba1 Ba 0.000 0.000 0.000 1
Fe1 Fe 0.000 0.000 0.500 1
Rh1 Rh 0.500 0.500 0.500 1
```

## Properties
Total moment (μB/f.u.): 7.61
ΔE to the lowest computed polymorph (meV per atom): 1792
N(E_F) (states/eV per cell): 13.00

Compound: TbAlPbS4
Source: Alexandria via LeMat-Bulk
Functional: PBE
Structure: relaxed

Structure (CIF):
```
data_TbAlPbS4
_chemical_formula_sum 'Tb2 Al2 Pb2 S8'
_cell_length_a 6.554
_cell_length_b 6.664
_cell_length_c 8.002
_cell_angle_alpha 90.00
_cell_angle_beta 106.93
_cell_angle_gamma 90.00
_symmetry_space_group_name_H-M 'P 1 21/m 1'
_symmetry_Int_Tables_number 11
loop_
_symmetry_equiv_pos_as_xyz
'x,y,z'
'-x,-y,-z'
'-x,y+1/2,-z'
'x,-y+1/2,z'
loop_
_atom_site_label
_atom_site_type_symbol
_atom_site_fract_x
_atom_site_fract_y
_atom_site_fract_z
_atom_site_occupancy
Tb1 Tb 0.221 0.250 0.055 1
Al1 Al 0.240 0.750 0.817 1
Pb1 Pb 0.255 0.250 0.569 1
S1 S 0.004 0.004 0.771 1
S2 S 0.443 0.750 0.637 1
S3 S 0.447 0.750 0.093 1
```

## Properties
Total moment (μB/f.u.): 0.00
N(E_F) (states/eV per cell): 0.00
ΔE_f (raw) (eV per atom): -1.228

Compound: RbHgI2
Source: Alexandria via LeMat-Bulk
Functional: PBE
Structure: relaxed

Structure (CIF):
```
data_RbHgI2
_chemical_formula_sum 'Rb3 Hg3 I6'
_cell_length_a 4.8898
_cell_length_b 4.8898
_cell_length_c 26.1215
_cell_angle_alpha 90.00
_cell_angle_beta 90.00
_cell_angle_gamma 120.00
_symmetry_space_group_name_H-M 'R 3 m'
_symmetry_Int_Tables_number 160
_symmetry_space_group_name_Hall 'R 3 -2"'
loop_
_atom_site_label
_atom_site_type_symbol
_atom_site_fract_x
_atom_site_fract_y
_atom_site_fract_z
_atom_site_occupancy
Rb1 Rb 0.0000 0.0000 0.0000 1
Hg1 Hg 0.0000 0.0000 0.1672 1
I1 I 0.0000 0.0000 0.4229 1
I2 I 0.0000 0.0000 0.5768 1
```

## Properties
Total moment (μB/f.u.): 0.00
ΔE to the lowest computed polymorph (meV per atom): 164
N(E_F) (states/eV per cell): 17.14
ΔE_f (raw) (eV per atom): -0.635

Compound: Pa2VAs
Source: Alexandria via LeMat-Bulk
Functional: PBE
Structure: relaxed

Structure (CIF):
```
data_Pa2VAs
_chemical_formula_sum 'Pa6 V3 As3'
_cell_length_a 3.0873
_cell_length_b 3.0873
_cell_length_c 30.4596
_cell_angle_alpha 90.00
_cell_angle_beta 90.00
_cell_angle_gamma 120.00
_symmetry_space_group_name_H-M 'R -3 m'
_symmetry_Int_Tables_number 166
_symmetry_space_group_name_Hall '-R 3 2"'
loop_
_atom_site_label
_atom_site_type_symbol
_atom_site_fract_x
_atom_site_fract_y
_atom_site_fract_z
_atom_site_occupancy
Pa1 Pa 0.0000 0.0000 0.0837 1
V1 V 0.0000 0.0000 0.0000 1
As1 As 0.0000 0.0000 0.5000 1
```

## Properties
Total moment (μB/f.u.): 0.00
ΔE to the lowest computed polymorph (meV per atom): 489
N(E_F) (states/eV per cell): 18.78

Compound: CdIrBr2
Source: Alexandria via LeMat-Bulk
Functional: PBE
Structure: relaxed

Structure (CIF):
```
data_CdIrBr2
_chemical_formula_sum 'Cd3 Ir3 Br6'
_cell_length_a 3.8339
_cell_length_b 3.8339
_cell_length_c 24.2168
_cell_angle_alpha 90.00
_cell_angle_beta 90.00
_cell_angle_gamma 120.00
_symmetry_space_group_name_H-M 'R 3 m'
_symmetry_Int_Tables_number 160
_symmetry_space_group_name_Hall 'R 3 -2"'
loop_
_atom_site_label
_atom_site_type_symbol
_atom_site_fract_x
_atom_site_fract_y
_atom_site_fract_z
_atom_site_occupancy
Cd1 Cd 0.0000 0.0000 0.0000 1
Ir1 Ir 0.0000 0.0000 0.2564 1
Br1 Br 0.0000 0.0000 0.5438 1
Br2 Br 0.0000 0.0000 0.7392 1
```

## Properties
Total moment (μB/f.u.): 0.00
ΔE to the lowest computed polymorph (meV per atom): 161
N(E_F) (states/eV per cell): 8.78
ΔE_f (raw) (eV per atom): 0.120

Compound: ScCd2Hg2
Source: Alexandria via LeMat-Bulk
Functional: PBE
Structure: relaxed

Structure (CIF):
```
data_ScCd2Hg2
_chemical_formula_sum 'Sc2 Cd4 Hg4'
_cell_length_a 7.908
_cell_length_b 7.908
_cell_length_c 3.787
_cell_angle_alpha 90.00
_cell_angle_beta 90.00
_cell_angle_gamma 90.00
_symmetry_space_group_name_H-M 'P 4/m b m'
_symmetry_Int_Tables_number 127
_symmetry_space_group_name_Hall '-P 4 2ab'
loop_
_atom_site_label
_atom_site_type_symbol
_atom_site_fract_x
_atom_site_fract_y
_atom_site_fract_z
_atom_site_occupancy
Sc1 Sc 0.000 0.000 0.000 1
Cd1 Cd 0.167 0.333 0.500 1
Hg1 Hg 0.137 0.637 0.000 1
```

## Properties
Total moment (μB/f.u.): 0.00
ΔE to the lowest computed polymorph (meV per atom): 119
N(E_F) (states/eV per cell): 6.93

Compound: YMn2Nb2
Source: Alexandria via LeMat-Bulk
Functional: PBE
Structure: relaxed

Structure (CIF):
```
data_YMn2Nb2
_chemical_formula_sum 'Y2 Mn4 Nb4'
_cell_length_a 7.570
_cell_length_b 7.570
_cell_length_c 3.183
_cell_angle_alpha 90.00
_cell_angle_beta 90.00
_cell_angle_gamma 90.00
_symmetry_space_group_name_H-M 'P 4/m b m'
_symmetry_Int_Tables_number 127
_symmetry_space_group_name_Hall '-P 4 2ab'
loop_
_atom_site_label
_atom_site_type_symbol
_atom_site_fract_x
_atom_site_fract_y
_atom_site_fract_z
_atom_site_occupancy
Y1 Y 0.000 0.000 0.000 1
Mn1 Mn 0.124 0.376 0.000 1
Nb1 Nb 0.150 0.650 0.500 1
```

## Properties
Total moment (μB/f.u.): 3.02
ΔE to the lowest computed polymorph (meV per atom): 114
N(E_F) (states/eV per cell): 10.16

Compound: CrFeCo2
Source: Alexandria via LeMat-Bulk
Functional: PBE
Structure: relaxed

Structure (CIF):
```
data_CrFeCo2
_chemical_formula_sum 'Cr4 Fe4 Co8'
_cell_length_a 3.410
_cell_length_b 3.410
_cell_length_c 16.573
_cell_angle_alpha 90.00
_cell_angle_beta 90.00
_cell_angle_gamma 90.00
_symmetry_space_group_name_H-M 'I -4 2 d'
_symmetry_Int_Tables_number 122
_symmetry_space_group_name_Hall 'I -4 2bw'
loop_
_atom_site_label
_atom_site_type_symbol
_atom_site_fract_x
_atom_site_fract_y
_atom_site_fract_z
_atom_site_occupancy
Cr1 Cr 0.000 0.000 0.000 1
Fe1 Fe 0.000 0.000 0.500 1
Co1 Co 0.243 0.250 0.625 1
```

## Properties
Total moment (μB/f.u.): 1.83
N(E_F) (states/eV per cell): 23.94
Total energy (eV/atom): -7.526